Entry 1:
Below is a relaxed structure of CeCdPb, with properties calculated at the PBE level.

Calculated values
- formation enthalpy at 0 K (eV/atom) = -0.27
- M_tot (μB/atom) = 0.347

Geometry as CIF:
```
data_CeCdPb
_space_group_name_H-M_alt 'I m m m'
_space_group_IT_number 71
_space_group_name_Hall '-I 2 2'
_cell_length_a 5.0501
_cell_length_b 6.7284
_cell_length_c 9.5442
_cell_angle_alpha 90.00
_cell_angle_beta 90.00
_cell_angle_gamma 90.00
loop_
_atom_site_label
_atom_site_fract_x
_atom_site_fract_y
_atom_site_fract_z
Ce1 0.0000 0.2130 0.0000
Cd1 0.0000 0.0000 0.3519
Pb1 0.0000 0.5000 0.3123
```


Entry 2:
Below is a relaxed structure of NbB3P, with properties calculated at the PBE level.

Calculated values
- formation enthalpy at 0 K (eV/atom) = 1.94
- M_tot (μB/atom) = 0.000

Geometry as CIF:
```
data_NbB3P
_space_group_name_H-M_alt 'P m -3 m'
_space_group_IT_number 221
_space_group_name_Hall '-P 4 2 3'
_cell_length_a 4.2771
_cell_length_b 4.2771
_cell_length_c 4.2771
_cell_angle_alpha 90.00
_cell_angle_beta 90.00
_cell_angle_gamma 90.00
loop_
_atom_site_label
_atom_site_fract_x
_atom_site_fract_y
_atom_site_fract_z
Nb1 0.0000 0.0000 0.0000
B1 0.0000 0.0000 0.5000
P1 0.5000 0.5000 0.5000
```


Entry 3:
Below is a relaxed structure of FeSeBr2, with properties calculated at the PBE level.

Calculated values
- energy relative to the elements, uncorrected (meV per atom) = 680
- M_tot (μB/atom) = 0.916

Geometry as CIF:
```
data_FeSeBr2
_space_group_name_H-M_alt 'F -4 3 m'
_space_group_IT_number 216
_space_group_name_Hall 'F -4 2 3'
_cell_length_a 7.0053
_cell_length_b 7.0053
_cell_length_c 7.0053
_cell_angle_alpha 90.00
_cell_angle_beta 90.00
_cell_angle_gamma 90.00
loop_
_atom_site_label
_atom_site_fract_x
_atom_site_fract_y
_atom_site_fract_z
Fe1 0.0000 0.0000 0.0000
Se1 0.2500 0.2500 0.2500
Br1 0.0000 0.0000 0.5000
Br2 0.2500 0.2500 0.7500
```


Entry 4:
Below is a relaxed structure of CrCd2Au, with properties calculated at the PBE level.

Calculated values
- formation enthalpy at 0 K (eV/atom) = 0.34
- M_tot (μB/atom) = 1.048

Geometry as CIF:
```
data_CrCd2Au
_space_group_name_H-M_alt 'I -4 2 d'
_space_group_IT_number 122
_space_group_name_Hall 'I -4 2bw'
_cell_length_a 7.7647
_cell_length_b 7.7647
_cell_length_c 5.6837
_cell_angle_alpha 90.00
_cell_angle_beta 90.00
_cell_angle_gamma 90.00
loop_
_atom_site_label
_atom_site_fract_x
_atom_site_fract_y
_atom_site_fract_z
Cr1 0.0000 0.0000 0.0000
Cd1 0.2417 0.2500 0.6250
Au1 0.0000 0.0000 0.5000
```


Entry 5:
Below is a relaxed structure of TbThGa2, with properties calculated at the PBE level.

Calculated values
- formation enthalpy at 0 K (eV/atom) = -0.50
- M_tot (μB/atom) = 0.000

Geometry as CIF:
```
data_TbThGa2
_space_group_name_H-M_alt 'P 4/m m m'
_space_group_IT_number 123
_space_group_name_Hall '-P 4 2'
_cell_length_a 3.4486
_cell_length_b 3.4486
_cell_length_c 8.0758
_cell_angle_alpha 90.00
_cell_angle_beta 90.00
_cell_angle_gamma 90.00
loop_
_atom_site_label
_atom_site_fract_x
_atom_site_fract_y
_atom_site_fract_z
Tb1 0.0000 0.0000 0.0000
Th1 0.0000 0.0000 0.5000
Ga1 0.5000 0.5000 0.2403
```


Entry 6:
Below is a relaxed structure of KTiAsBr2, with properties calculated at the PBE level.

Calculated values
- energy relative to the elements, uncorrected (meV per atom) = 577
- M_tot (μB/atom) = 0.000

Geometry as CIF:
```
data_KTiAsBr2
_space_group_name_H-M_alt 'P 4/m m m'
_space_group_IT_number 123
_space_group_name_Hall '-P 4 2'
_cell_length_a 5.7748
_cell_length_b 5.7748
_cell_length_c 5.9517
_cell_angle_alpha 90.00
_cell_angle_beta 90.00
_cell_angle_gamma 90.00
loop_
_atom_site_label
_atom_site_fract_x
_atom_site_fract_y
_atom_site_fract_z
K1 0.0000 0.0000 0.0000
Ti1 0.5000 0.5000 0.5000
As1 0.0000 0.0000 0.5000
Br1 0.0000 0.5000 0.0000
```


Entry 7:
Below is a relaxed structure of Li2TeAsSe4, with properties calculated at the PBE level.

Calculated values
- energy relative to the elements, uncorrected (meV per atom) = -427
- M_tot (μB/atom) = 0.000

Geometry as CIF:
```
data_Li2TeAsSe4
_space_group_name_H-M_alt 'C 1 2/c 1'
_space_group_IT_number 15
_cell_length_a 11.0960
_cell_length_b 11.0260
_cell_length_c 7.8458
_cell_angle_alpha 90.00
_cell_angle_beta 129.77
_cell_angle_gamma 90.00
loop_
_space_group_symop_operation_xyz
'x,y,z'
'-x,-y,-z'
'-x,y,-z+1/2'
'x,-y,z+1/2'
'x+1/2,y+1/2,z'
'-x+1/2,-y+1/2,-z'
'-x+1/2,y+1/2,-z+1/2'
'x+1/2,-y+1/2,z+1/2'
loop_
_atom_site_label
_atom_site_fract_x
_atom_site_fract_y
_atom_site_fract_z
Li1 0.0000 0.0000 0.0000
Li2 0.2500 0.2500 0.0000
Te1 0.2500 0.2500 0.5000
As1 0.0000 0.5000 0.0000
Se1 0.0231 0.2526 0.5442
Se2 0.2269 0.4981 0.9550
```


Entry 8:
Below is a relaxed structure of SmTh2Au6, with properties calculated at the PBE level.

Calculated values
- formation enthalpy at 0 K (eV/atom) = -0.72
- M_tot (μB/atom) = 0.000

Geometry as CIF:
```
data_SmTh2Au6
_space_group_name_H-M_alt 'P 6/m m m'
_space_group_IT_number 191
_space_group_name_Hall '-P 6 2'
_cell_length_a 8.3018
_cell_length_b 8.3018
_cell_length_c 3.4691
_cell_angle_alpha 90.00
_cell_angle_beta 90.00
_cell_angle_gamma 120.00
loop_
_atom_site_label
_atom_site_fract_x
_atom_site_fract_y
_atom_site_fract_z
Sm1 0.0000 0.0000 0.0000
Th1 0.3333 0.6667 0.0000
Au1 0.0000 0.3326 0.5000
```


Entry 9:
Below is a relaxed structure of Cs2MoBr2Cl4, with properties calculated at the PBE level.

Calculated values
- energy relative to the elements, uncorrected (meV per atom) = -1352
- M_tot (μB/atom) = 0.222

Geometry as CIF:
```
data_Cs2MoBr2Cl4
_space_group_name_H-M_alt 'I 4/m m m'
_space_group_IT_number 139
_space_group_name_Hall '-I 4 2'
_cell_length_a 7.6679
_cell_length_b 7.6679
_cell_length_c 10.5919
_cell_angle_alpha 90.00
_cell_angle_beta 90.00
_cell_angle_gamma 90.00
loop_
_atom_site_label
_atom_site_fract_x
_atom_site_fract_y
_atom_site_fract_z
Cs1 0.0000 0.5000 0.2500
Mo1 0.0000 0.0000 0.0000
Br1 0.0000 0.0000 0.2429
Cl1 0.2215 0.2215 0.0000
```


Entry 10:
Below is a relaxed structure of Co3TcNi, with properties calculated at the PBE level.

Calculated values
- formation enthalpy at 0 K (eV/atom) = 1.65
- M_tot (μB/atom) = 0.492

Geometry as CIF:
```
data_Co3TcNi
_space_group_name_H-M_alt 'P m -3 m'
_space_group_IT_number 221
_space_group_name_Hall '-P 4 2 3'
_cell_length_a 4.3480
_cell_length_b 4.3480
_cell_length_c 4.3480
_cell_angle_alpha 90.00
_cell_angle_beta 90.00
_cell_angle_gamma 90.00
loop_
_atom_site_label
_atom_site_fract_x
_atom_site_fract_y
_atom_site_fract_z
Co1 0.0000 0.0000 0.5000
Tc1 0.0000 0.0000 0.0000
Ni1 0.5000 0.5000 0.5000
```


Entry 11:
Below is a relaxed structure of BaNi2PH2, with properties calculated at the PBE level.

Calculated values
- E_tot (eV per atom) = -4.74
- M_tot (μB/atom) = 0.000

Geometry as CIF:
```
data_BaNi2PH2
_space_group_name_H-M_alt 'P 1 21/m 1'
_space_group_IT_number 11
_cell_length_a 6.3074
_cell_length_b 5.0986
_cell_length_c 6.3323
_cell_angle_alpha 90.00
_cell_angle_beta 105.69
_cell_angle_gamma 90.00
loop_
_space_group_symop_operation_xyz
'x,y,z'
'-x,-y,-z'
'-x,y+1/2,-z'
'x,-y+1/2,z'
loop_
_atom_site_label
_atom_site_fract_x
_atom_site_fract_y
_atom_site_fract_z
Ba1 0.1903 0.2500 0.3087
Ni1 0.3244 0.0001 0.8221
P1 0.3854 0.7500 0.1107
H1 0.1445 0.2500 0.7532
H2 0.2575 0.7500 0.6429
```


Entry 12:
Below is a relaxed structure of Mg2Ir2Os, with properties calculated at the PBE level.

Calculated values
- formation enthalpy at 0 K (eV/atom) = 0.01
- M_tot (μB/atom) = 0.000

Geometry as CIF:
```
data_Mg2Ir2Os
_space_group_name_H-M_alt 'P 4/m b m'
_space_group_IT_number 127
_space_group_name_Hall '-P 4 2ab'
_cell_length_a 6.4323
_cell_length_b 6.4323
_cell_length_c 4.2268
_cell_angle_alpha 90.00
_cell_angle_beta 90.00
_cell_angle_gamma 90.00
loop_
_atom_site_label
_atom_site_fract_x
_atom_site_fract_y
_atom_site_fract_z
Mg1 0.1746 0.3254 0.0000
Ir1 0.1348 0.6348 0.5000
Os1 0.0000 0.0000 0.5000
```


Asked for calculated volume across the records above, the calculation gives 27.0; 15.6; 21.5; 21.4; 24.0; 39.7; 23.1; 23.0; 34.6; 16.4; 16.3; 17.5 Å³ per atom in order.